Record 1
SnHgI3 after structural relaxation. Source: the Alexandria database, functional GGA-PBE.

Calculated values
Formation energy (no corrections), eV/f.u.: -0.9
Magnetization, μB per atom: 0.000
E, eV per atom: -1.965

Structure (POSCAR):
```
SnHgI3
1.0
-0.589 3.938 -4.526
-1.734 -4.465 -3.660
-5.744 0.944 1.569
I Hg Sn
3 1 1
Cartesian
-0.867 -2.233 -1.830
-2.872 0.472 0.784
-0.294 1.969 -2.263
-4.033 0.208 -3.309
0.000 0.000 0.000
```



Record 2
SrSm2Pd after structural relaxation. Source: the Alexandria database, functional GGA-PBE.

Calculated values
Formation energy, meV/atom: -278
Magnetization, μB per atom: 0.001
E, eV per atom: -4.356

Structure (POSCAR):
```
SrSm2Pd
1.0
-1.807 -1.201 3.644
-0.742 -4.108 0.746
7.749 -2.597 5.454
Sr Sm Pd
1 2 1
Cartesian
2.572 -3.950 4.909
6.408 -2.468 4.832
0.508 -1.900 2.093
-1.687 -3.541 2.932
```



Record 3
CdS after structural relaxation. Source: the Alexandria database, functional GGA-PBE.

Calculated values
Formation energy (no corrections), eV/f.u.: -1.3
Magnetization, μB per atom: 0.000
E, eV per atom: -3.161

Structure (POSCAR):
```
CdS
1.0
-1.165 -0.255 4.020
3.564 -1.808 -1.268
6.820 11.544 2.709
S Cd
4 4
Cartesian
2.413 -0.571 0.663
4.246 5.718 3.780
2.131 3.607 0.846
5.541 9.379 2.201
3.693 1.596 1.172
5.526 7.886 4.289
3.412 5.775 1.355
0.002 0.003 0.001
```